Entry from Alexandria via LeMat-Bulk: a relaxed structure of Sr2Sn3 (PBE-GGA).

Space group: Cmce
D(E_F): 2.4 states/eV/f.u.
E_form: -525 meV per atom
Calculated density: 5.4 g cm⁻³
Magnetic moment: 0.000 μB/f.u.

Unit cell a=6.523 b=6.523 c=8.865 alpha=90.00 beta=90.00 gamma=60.78
Positions (direct):
Sn1 0.000 0.000 0.000
Sn2 0.142 0.642 0.750
Sn3 0.858 0.358 0.250
Sn4 0.642 0.142 0.750
Sn5 0.500 0.500 0.500
Sn6 0.358 0.858 0.250
Sr1 0.348 0.348 0.101
Sr2 0.652 0.652 0.899
Sr3 0.848 0.848 0.399
Sr4 0.152 0.152 0.601